Below is a geometry-optimized PmPr2Y7 structure, with properties calculated at the PBE-GGA level.

a b c (Å): 3.536 14.984 14.984
angles (deg): 154.58 90.00 90.00
Element x y z (fractional)
Y1 0.500 0.500 0.500
Y2 0.000 0.814 0.186
Pm1 0.000 0.000 0.000
Y3 0.500 0.655 0.852
Y4 0.500 0.345 0.148
Pr1 0.500 0.707 0.293
Pr2 0.500 0.293 0.707
Y5 0.000 0.186 0.814
Y6 0.500 0.148 0.345
Y7 0.500 0.852 0.655

Calculated values
* electronic total energy: -57.94 eV per cell
* E_form: 0.162 eV per atom
* calculated density: 5.1 g/cm³
* SG: No. 65
* distance to the lowest polymorph of the same formula: 13.9 kJ/mol of atoms